(1)
First-principles (PBEsol) data for crystalline LaGaSe2O at its relaxed geometry, as listed in Alexandria.

The calculated volume is 424.63 Å³/cell.

The space group is Pca2_1 (No. 29) and the conventional cell measures 5.9053, 12.1997 and 5.8942 Å, with angles of 90.00, 90.00 and 90.00 degrees. The inequivalent atoms are La at (0.0028, 0.0962, 0.0000), Ga at (0.0785, 0.3979, 0.4043), Se at (0.0067, 0.7817, 0.0028), Se at (0.0184, 0.4123, 0.9948) and O at (0.2493, 0.9985, 0.2469).

(2)
First-principles (PBEsol) data for crystalline La3Ga5SnO14 at its relaxed geometry, as listed in Alexandria.

The calculated volume is 303.43 Å³/cell.

The space group is P321 (No. 150) and the conventional cell measures 8.2351, 8.2351 and 5.1663 Å, with angles of 90.00, 90.00 and 120.00 degrees. The inequivalent atoms are La at (0.0000, 0.5712, 0.0000), Ga at (0.0000, 0.2430, 0.5000), Ga at (0.3333, 0.6667, 0.5300), Sn at (0.0000, 0.0000, 0.0000), O at (0.0800, 0.8523, 0.2428), O at (0.1457, 0.4582, 0.6988) and O at (0.3333, 0.6667, 0.1795).

(3)
First-principles (PBEsol) data for crystalline SrLaGaO4 at its relaxed geometry, as listed in Alexandria.

The calculated volume is 183.99 Å³/cell.

The space group is I4mm (No. 107) and the conventional cell measures 3.8384, 3.8384 and 12.4882 Å, with angles of 90.00, 90.00 and 90.00 degrees. The inequivalent atoms are Sr at (0.0000, 0.0000, 0.0000), La at (0.0000, 0.0000, 0.2839), Ga at (0.0000, 0.0000, 0.6360), O at (0.0000, 0.0000, 0.4726), O at (0.0000, 0.0000, 0.8075) and O at (0.0000, 0.5000, 0.1477).

(4)
First-principles (PBEsol) data for crystalline La3TaGa5O14 at its relaxed geometry, as listed in Alexandria.

The calculated volume is 303.95 Å³/cell.

The space group is P321 (No. 150) and the conventional cell measures 8.1907, 8.1907 and 5.2316 Å, with angles of 90.00, 90.00 and 120.00 degrees. The inequivalent atoms are La at (0.0000, 0.4278, 0.0000), Ta at (0.0000, 0.0000, 0.0000), Ga at (0.0000, 0.7599, 0.5000), Ga at (0.3333, 0.6667, 0.4702), O at (0.0738, 0.2200, 0.7629), O at (0.1437, 0.6863, 0.3022) and O at (0.3333, 0.6667, 0.8182).

| no. | raw formation energy (meV per atom) |
| --- | --- |
| 1 | -1855.5 |
| 2 | -2434.9 |
| 3 | -2778.4 |
| 4 | -2536.0 |